# 1
FeWAu2: optimized geometry, GGA-PBE.

Cell lengths 2.8252, 4.7318, 4.8890 Å; angles 90.00, 90.00, 90.00 degrees
Space group Pmmm (No. 47)
One atom of each set of equivalent atoms:
Fe: 0.0000 0.0000 0.0000 [1 per cell]
W: 0.5000 0.5000 0.0000 [1 per cell]
Au: 0.0000 0.5000 0.5000 [1 per cell]
Au: 0.5000 0.0000 0.5000 [1 per cell]

Calculated values
- Density of states at the Fermi level: 3.35 states/eV/f.u.
- Total DFT energy (no corrections): -6.45 eV/atom


# 2
KHf2Pt: optimized geometry, GGA-PBE.

Cell lengths 5.7834, 5.7834, 17.4832 Å; angles 90.00, 90.00, 90.00 degrees
Space group I4_1/amd (No. 141, origin choice 2)
One atom of each set of equivalent atoms:
K: 0.0000 0.2500 0.3750 [4 per cell]
Hf: 0.0000 0.0000 0.0000 [8 per cell]
Pt: 0.0000 0.2500 0.8750 [4 per cell]

Calculated values
- Density of states at the Fermi level: 6.00 states/eV/f.u.
- Total DFT energy (no corrections): -6.05 eV/atom


What energy above the lowest structure with this stoichiometry values result from the calculations? In sequence: 305.7; 330.8 meV/atom.
What formation energy from the elements values result from the calculations? In sequence: 0.54; 0.71 eV per atom.